Version A
Li3NCl | Alexandria | PBE | optimized geometry; SG = C2/m; size of the total moment = 1.00 μB/f.u.; density of states at the Fermi level = 0.294 states/eV per atom; calculated volume = 14.4 Å³/atom
1.0
-1.928 1.244 -2.330
3.099 -4.245 -4.831
-3.550 -4.590 2.781
N Cl Li
2 2 6
Direct
0.637 0.386 0.275 N
0.363 0.614 0.725 N
0.870 0.115 0.740 Cl
0.130 0.885 0.260 Cl
0.812 0.442 0.625 Li
0.675 0.119 0.350 Li
0.957 0.702 0.915 Li
0.325 0.881 0.650 Li
0.043 0.298 0.085 Li
0.188 0.558 0.375 Li

***

Version B
Li3NCl | Alexandria | PBE | optimized geometry; SG = Pm-3m; size of the total moment = 1.00 μB/f.u.; density of states at the Fermi level = 0.701 states/eV per atom; calculated volume = 12.7 Å³/atom
1.0
-2.570 -0.045 -3.057
3.038 -0.487 -2.547
-0.344 -3.964 0.348
N Li Cl
1 3 1
Direct
0.000 0.000 0.000 N
0.500 0.000 0.000 Li
0.000 0.000 0.500 Li
0.000 0.500 0.000 Li
0.500 0.500 0.500 Cl

***

Result of the stability comparison: version A is the least stable of them.

***

Version A
SrLi2NCl | Alexandria | PBE | optimized geometry; SG = Cmcm; size of the total moment = 0.00 μB/f.u.; density of states at the Fermi level = 0.076 states/eV per atom; calculated volume = 18.2 Å³/atom
1.0
3.761 0.000 0.000
-1.881 6.501 0.000
0.000 0.000 7.440
Li N Cl Sr
4 2 2 2
Direct
0.143 0.285 0.550 Li
0.143 0.285 0.950 Li
0.857 0.715 0.450 Li
0.857 0.715 0.050 Li
0.000 0.000 0.500 N
0.000 0.000 0.000 N
0.268 0.536 0.250 Cl
0.732 0.464 0.750 Cl
0.525 0.050 0.250 Sr
0.475 0.950 0.750 Sr

***

Version B
SrLi2NCl | Alexandria | PBE | optimized geometry; SG = P4/mmm; size of the total moment = 0.00 μB/f.u.; calculated volume = 18.1 Å³/atom
1.0
-2.397 -2.417 2.384
3.174 -0.562 2.623
-1.517 4.204 2.737
Li Sr Cl N
2 1 1 1
Direct
0.500 0.000 0.000 Li
0.000 0.500 0.000 Li
0.000 0.000 0.500 Sr
0.500 0.500 0.500 Cl
0.000 0.000 0.000 N

***

Result of the stability comparison: version A is the least stable of them.